Entry 1:
The following is a DFT calculation (PBE) of crystalline Er5PuRh6 at its relaxed geometry.

```
Er5PuRh6
1.0
4.5190 -0.0269 1.5060
0.0372 6.9282 0.0124
-0.0054 -0.0135 7.5494
Pu Rh Er
1 6 5
direct
0.0000 0.0000 0.0000
0.8335 0.7488 0.3330
0.8335 0.2512 0.3330
0.5000 0.2513 0.0000
0.5000 0.7487 0.0000
0.1665 0.7488 0.6670
0.1665 0.2512 0.6670
0.6671 0.5000 0.6657
0.3329 0.0000 0.3342
0.0000 0.5000 0.0000
0.6671 0.0000 0.6658
0.3329 0.5000 0.3343
```

Calculated values
Energy of formation from the pure elements, eV per atom: -0.834



Entry 2:
The following is a DFT calculation (PBE) of crystalline HgSeBr2 at its relaxed geometry.

```
HgSeBr2
1.0
-0.2379 -0.1714 -3.6739
-4.2662 -2.1452 0.3763
-4.6900 6.9379 -0.0199
Br Hg Se
2 1 1
direct
0.0000 0.9141 0.9416
0.0000 0.5859 0.5584
0.5000 0.2500 0.2500
0.5000 0.7500 0.7500
```

Calculated values
Polymorph energy (0 for the lowest one), meV/atom: 194.2
Energy relative to the elements, uncorrected, meV/atom: 17



Entry 3:
The following is a DFT calculation (PBE) of crystalline La3AsSe2 at its relaxed geometry.

```
La3AsSe2
1.0
-1.7197 -3.9234 -0.6316
1.2368 0.4200 -5.9761
6.0816 -0.9719 4.3211
La As Se
3 1 2
direct
0.8378 0.3378 0.1756
0.1622 0.6622 0.8244
0.5000 0.0000 0.5000
0.5000 0.5000 0.5000
0.8326 0.8326 0.1652
0.1674 0.1674 0.8348
```

Calculated values
Polymorph energy (0 for the lowest one), meV/atom: 0.0
Energy relative to the elements, uncorrected, meV/atom: -1902



Entry 4:
The following is a DFT calculation (PBE) of crystalline NdCoTcGe3 at its relaxed geometry.

```
NdCoTcGe3
1.0
-4.1382 -3.8394 -1.2745
2.5046 -0.3657 -7.0306
2.1335 -3.9381 4.9359
Nd Co Tc Ge
2 2 2 6
direct
0.7500 0.2431 0.4862
0.2500 0.7569 0.5138
0.2500 0.0388 0.0776
0.7500 0.9612 0.9224
0.2500 0.4481 0.8962
0.7500 0.5519 0.1038
0.2500 0.2374 0.4748
0.0000 0.2401 0.0000
0.5000 0.7599 0.0000
0.5000 0.2401 0.0000
0.0000 0.7599 0.0000
0.7500 0.7626 0.5252
```

Calculated values
Energy of formation from the pure elements, eV per atom: -0.249



Entry 5:
The following is a DFT calculation (PBE) of crystalline Ag2PtO4 at its relaxed geometry.

```
Ag2PtO4
1.0
4.1824 0.0000 0.0000
0.0000 4.1824 0.0000
2.0912 2.0912 5.5428
O Ag Pt
4 2 1
direct
0.1707 0.1707 0.6586
0.8293 0.8293 0.3414
0.0000 0.5000 0.0000
0.5000 0.0000 0.0000
0.3625 0.3625 0.2751
0.6375 0.6375 0.7249
0.0000 0.0000 0.0000
```

Calculated values
Polymorph energy (0 for the lowest one), meV/atom: 300.7
Energy relative to the elements, uncorrected, meV/atom: 125



Entry 6:
The following is a DFT calculation (PBE) of crystalline LiNbCd at its relaxed geometry.

```
LiNbCd
1.0
-3.9822 -2.1040 2.5537
3.2686 -7.8330 -0.0464
1.8378 1.2818 1.7220
Nb Cd Li
2 2 2
direct
0.6034 0.6076 0.9835
0.1021 0.5186 0.9298
0.1034 0.8440 0.5893
0.6022 0.2823 0.3237
0.6039 0.9677 0.6653
0.1020 0.1586 0.2487
```

Calculated values
Energy of formation from the pure elements, eV per atom: 0.097
Polymorph energy (0 for the lowest one), meV/atom: 63.2



Entry 7:
The following is a DFT calculation (PBE) of crystalline RbAgO2F at its relaxed geometry.

```
RbAgO2F
1.0
4.1008 0.0000 0.0000
0.0000 4.1008 0.0000
0.0000 0.0000 4.8928
O Rb Ag F
2 1 1 1
direct
0.0000 0.5000 0.0000
0.5000 0.0000 0.0000
0.5000 0.5000 0.5000
0.0000 0.0000 0.0000
0.0000 0.0000 0.5000
```

Calculated values
Energy relative to the elements, uncorrected, meV/atom: -682



Entry 8:
The following is a DFT calculation (PBE) of crystalline TbTm2Cu2 at its relaxed geometry.

```
TbTm2Cu2
1.0
-2.3216 -0.0565 -2.5716
-0.0126 -5.0336 0.1220
-8.3807 0.2607 9.8894
Tb Tm Cu
2 4 4
direct
0.8573 0.7500 0.7173
0.1427 0.2500 0.2827
0.0470 0.7500 0.0933
0.9530 0.2500 0.9067
0.2304 0.7500 0.4600
0.7696 0.2500 0.5400
0.6418 0.7500 0.2806
0.3582 0.2500 0.7194
0.4549 0.7500 0.9117
0.5451 0.2500 0.0883
```

Calculated values
Energy of formation from the pure elements, eV per atom: -0.186
Polymorph energy (0 for the lowest one), meV/atom: 0.0



Entry 9:
The following is a DFT calculation (PBE) of crystalline TbY3Cd6 at its relaxed geometry.

```
TbY3Cd6
1.0
5.1754 0.0000 0.0000
0.0000 8.7934 -2.6607
0.0000 0.2133 11.0688
Tb Y Cd
2 6 12
direct
0.2500 0.9435 0.6069
0.7500 0.0565 0.3931
0.2500 0.5291 0.3926
0.7500 0.4709 0.6074
0.2500 0.3500 0.7926
0.7500 0.6500 0.2074
0.2500 0.7612 0.0006
0.7500 0.2388 0.9994
0.2500 0.4517 0.0939
0.7500 0.5483 0.9061
0.2500 0.1445 0.1936
0.7500 0.8555 0.8064
0.2500 0.6579 0.7065
0.7500 0.3421 0.2935
0.2500 0.2409 0.4966
0.7500 0.7591 0.5034
0.2500 0.8508 0.3054
0.7500 0.1492 0.6946
0.2500 0.0525 0.8986
0.7500 0.9475 0.1014
```

Calculated values
Energy of formation from the pure elements, eV per atom: -0.310



Number 1: volume 236.4 Å³ per cell. Number 2: volume 146.6 Å³ per cell. Number 3: volume 172.8 Å³ per cell. Number 4: volume 238.7 Å³ per cell. Number 5: volume 97.0 Å³ per cell. Number 6: volume 113.0 Å³ per cell. Number 7: volume 82.3 Å³ per cell. Number 8: volume 224.2 Å³ per cell. Number 9: volume 506.7 Å³ per cell.